1.
Below is a relaxed structure of ZrGe3Pb, with properties calculated at the PBE-GGA level. Values from VASP.

Geometry as Quantum ESPRESSO input:
```
&SYSTEM
  ibrav = 0, nat = 5, ntyp = 3
/
ATOMIC_SPECIES
Zr 91.22 Zr.upf
Ge 72.64 Ge.upf
Pb 207.20 Pb.upf
CELL_PARAMETERS angstrom
5.2206 0.0000 0.0000
0.0000 5.2206 0.0000
0.0000 0.0000 5.2206
ATOMIC_POSITIONS crystal
Zr 0.0000 0.0000 0.0000
Ge 0.0000 0.0000 0.5000
Ge 0.0000 0.5000 0.0000
Ge 0.5000 0.0000 0.0000
Pb 0.5000 0.5000 0.5000
```

Computed properties:
- offset from the most stable computed form (eV per atom) = 0.000
- volume (Å³/atom) = 28.458
- symmetry = Pm-3m (221)

---

2.
Below is a relaxed structure of Zr5Ge2Pb, with properties calculated at the PBE-GGA level. Values from VASP.

Geometry as Quantum ESPRESSO input:
```
&SYSTEM
  ibrav = 0, nat = 16, ntyp = 3
/
ATOMIC_SPECIES
Zr 91.22 Zr.upf
Ge 72.64 Ge.upf
Pb 207.20 Pb.upf
CELL_PARAMETERS angstrom
-3.6386 3.6386 6.4020
3.6386 -3.6386 6.4020
3.6386 3.6386 -6.4020
ATOMIC_POSITIONS crystal
Zr 0.0000 0.0000 0.0000
Zr 0.0117 0.5117 0.8153
Zr 0.1964 0.0117 0.5000
Zr 0.3036 0.8036 0.8153
Zr 0.4883 0.3036 0.5000
Zr 0.5000 0.5000 0.0000
Zr 0.5117 0.6964 0.5000
Zr 0.6964 0.1964 0.1847
Zr 0.8036 0.9883 0.5000
Zr 0.9883 0.4883 0.1847
Ge 0.1394 0.3606 0.5000
Ge 0.3606 0.8606 0.2212
Ge 0.6394 0.1394 0.7788
Ge 0.8606 0.6394 0.5000
Pb 0.2500 0.2500 0.0000
Pb 0.7500 0.7500 0.0000
```

Computed properties:
- volume (Å³/atom) = 21.190
- symmetry = I4/mcm (140)

---

3.
Below is a relaxed structure of Zr4GePb, with properties calculated at the PBE-GGA level. Values from VASP.

Geometry as Quantum ESPRESSO input:
```
&SYSTEM
  ibrav = 0, nat = 12, ntyp = 3
/
ATOMIC_SPECIES
Zr 91.22 Zr.upf
Ge 72.64 Ge.upf
Pb 207.20 Pb.upf
CELL_PARAMETERS angstrom
3.9682 -6.3509 0.0000
3.9682 6.3509 0.0000
-2.0086 0.0000 5.2873
ATOMIC_POSITIONS crystal
Zr 0.0909 0.7202 0.9446
Zr 0.1975 0.3890 0.6435
Zr 0.2798 0.9091 0.5554
Zr 0.3890 0.1975 0.1435
Zr 0.6110 0.8025 0.8565
Zr 0.7202 0.0909 0.4446
Zr 0.8025 0.6110 0.3565
Zr 0.9091 0.2798 0.0554
Ge 0.0026 0.9974 0.2500
Ge 0.9974 0.0026 0.7500
Pb 0.3878 0.6122 0.2500
Pb 0.6122 0.3878 0.7500
```

Computed properties:
- volume (Å³/atom) = 22.208
- symmetry = C2/c (15)

---

4.
Below is a relaxed structure of ZrGePb3, with properties calculated at the PBE-GGA level. Values from VASP.

Geometry as Quantum ESPRESSO input:
```
&SYSTEM
  ibrav = 0, nat = 5, ntyp = 3
/
ATOMIC_SPECIES
Zr 91.22 Zr.upf
Ge 72.64 Ge.upf
Pb 207.20 Pb.upf
CELL_PARAMETERS angstrom
5.6575 0.0000 0.0000
0.0000 5.6575 0.0000
0.0000 0.0000 5.6575
ATOMIC_POSITIONS crystal
Zr 0.0000 0.0000 0.0000
Ge 0.5000 0.5000 0.5000
Pb 0.0000 0.0000 0.5000
Pb 0.0000 0.5000 0.0000
Pb 0.5000 0.0000 0.0000
```

Computed properties:
- offset from the most stable computed form (eV per atom) = 0.000
- volume (Å³/atom) = 36.217
- symmetry = Pm-3m (221)

---

5.
Below is a relaxed structure of ZrGe2Pb, with properties calculated at the PBE-GGA level. Values from VASP.

Geometry as Quantum ESPRESSO input:
```
&SYSTEM
  ibrav = 0, nat = 8, ntyp = 3
/
ATOMIC_SPECIES
Zr 91.22 Zr.upf
Ge 72.64 Ge.upf
Pb 207.20 Pb.upf
CELL_PARAMETERS angstrom
-3.1624 3.1624 6.3124
3.1624 -3.1624 6.3124
3.1624 3.1624 -6.3124
ATOMIC_POSITIONS crystal
Zr 0.0000 0.0000 0.0000
Zr 0.7500 0.2500 0.5000
Ge 0.1092 0.6250 0.9842
Ge 0.3750 0.3592 0.4842
Ge 0.6408 0.1250 0.0158
Ge 0.8750 0.8908 0.5158
Pb 0.2500 0.7500 0.5000
Pb 0.5000 0.5000 0.0000
```

Computed properties:
- volume (Å³/atom) = 31.565
- symmetry = I-42d (122)

---

6.
Below is a relaxed structure of GePd5, with properties calculated at the PBE-GGA level. Values from VASP.

Geometry as Quantum ESPRESSO input:
```
&SYSTEM
  ibrav = 0, nat = 12, ntyp = 2
/
ATOMIC_SPECIES
Ge 72.64 Ge.upf
Pd 106.42 Pd.upf
CELL_PARAMETERS angstrom
2.7946 -3.9003 0.0000
2.7946 3.9003 0.0000
-1.1741 0.0000 8.4492
ATOMIC_POSITIONS crystal
Ge 0.2276 0.2276 0.2058
Ge 0.7724 0.7724 0.7942
Pd 0.1890 0.8110 0.0000
Pd 0.2082 0.7243 0.3265
Pd 0.2554 0.2554 0.5064
Pd 0.2757 0.7918 0.6735
Pd 0.3419 0.3419 0.8530
Pd 0.6581 0.6581 0.1470
Pd 0.7243 0.2082 0.3265
Pd 0.7446 0.7446 0.4936
Pd 0.7918 0.2757 0.6735
Pd 0.8110 0.1890 0.0000
```

Computed properties:
- volume (Å³/atom) = 15.349
- symmetry = C2/m (12)

---

7.
Below is a relaxed structure of GePd4, with properties calculated at the PBE-GGA level. Values from VASP.

Geometry as Quantum ESPRESSO input:
```
&SYSTEM
  ibrav = 0, nat = 5, ntyp = 2
/
ATOMIC_SPECIES
Ge 72.64 Ge.upf
Pd 106.42 Pd.upf
CELL_PARAMETERS angstrom
2.0397 -5.0200 0.0000
2.0397 5.0200 0.0000
0.0000 0.0000 3.9693
ATOMIC_POSITIONS crystal
Ge 0.0000 0.0000 0.0000
Pd 0.1498 0.8502 0.5000
Pd 0.3528 0.6472 0.0000
Pd 0.6472 0.3528 0.0000
Pd 0.8502 0.1498 0.5000
```

Computed properties:
- offset from the most stable computed form (eV per atom) = 0.015
- volume (Å³/atom) = 16.257
- symmetry = Cmmm (65)

---

8.
Below is a relaxed structure of GePd7, with properties calculated at the PBE-GGA level. Values from VASP.

Geometry as Quantum ESPRESSO input:
```
&SYSTEM
  ibrav = 0, nat = 8, ntyp = 2
/
ATOMIC_SPECIES
Ge 72.64 Ge.upf
Pd 106.42 Pd.upf
CELL_PARAMETERS angstrom
0.0000 3.9398 3.9398
3.9398 0.0000 3.9398
3.9398 3.9398 0.0000
ATOMIC_POSITIONS crystal
Ge 0.0000 0.0000 0.0000
Pd 0.0000 0.0000 0.5000
Pd 0.0000 0.5000 0.0000
Pd 0.0000 0.5000 0.5000
Pd 0.5000 0.0000 0.0000
Pd 0.5000 0.0000 0.5000
Pd 0.5000 0.5000 0.0000
Pd 0.5000 0.5000 0.5000
```

Computed properties:
- volume (Å³/atom) = 15.288
- symmetry = Fm-3m (225)

---

Energy of formation / eV/atom: 0.340 -0.605 -0.394 0.645 0.346 -0.308 -0.326 -0.193